Record 1
This record from Alexandria via LeMat-Bulk describes FeSnOs2W after structural relaxation. The functional is PBE-GGA.

Computed properties:
* crystal system: tetragonal
* space group: P4/mmm
* energy of formation: 7.26 eV per formula unit
* size of the total moment: 0.00 μB/cell

Cell lengths 4.497, 4.497, 4.497 Å; angles 90.00, 90.00, 90.00 degrees
Sites, in units of the cell vectors:
Sn: 0.500 0.500 0.500
Os: 0.000 0.000 0.500
W: 0.000 0.500 0.000
Fe: 0.000 0.000 0.000
Os: 0.500 0.000 0.000

***

Record 2
This record from Alexandria via LeMat-Bulk describes SrFe2Os after structural relaxation. The functional is PBE-GGA.

Computed properties:
* crystal system: tetragonal
* space group: P4mm
* ΔE to the lowest computed polymorph: 234 meV/atom
* energy of formation: 2.30 eV per formula unit
* size of the total moment: 4.38 μB/cell

Cell lengths 3.038, 3.038, 7.519 Å; angles 90.00, 90.00, 90.00 degrees
Sites, in units of the cell vectors:
Fe: 0.000 0.000 0.082
Sr: 0.500 0.500 0.748
Os: 0.000 0.000 0.424
Fe: 0.500 0.500 0.246